Density functional theory data (PBE) for a relaxed structure of Hf8H.

energy	-9.256	eV/atom

abc: 6.4230 6.4230 5.0668
angles: 90.00 90.00 120.00
Space group P-3m1 (No. 164)
Inequivalent atoms, fractional coordinates:
Hf  0.1700  0.3401  0.2477 (multiplicity 6)
Hf  0.3333  0.6667  0.7480 (multiplicity 2)
H  0.0000  0.0000  0.5000 (multiplicity 1)